[1]
Density functional theory data (PBE) for CePbSe2O after structural relaxation.

Summary:
SG: No. 129
Electronic total energy: -6.0334 eV/atom
Formation energy (no corrections): -1720 meV per atom
DOS at the Fermi energy: 5.14 states/eV/f.u.

```
CePbSe2O
1.0
4.066 0.000 0.000
0.000 4.066 0.000
0.000 0.000 14.731
Ce Pb Se O
2 2 4 2
Direct
0.250 0.250 0.082
0.750 0.750 0.918
0.250 0.250 0.625
0.750 0.750 0.375
0.250 0.250 0.399
0.250 0.250 0.824
0.750 0.750 0.176
0.750 0.750 0.601
0.250 0.750 0.000
0.750 0.250 0.000
```

=====

[2]
Density functional theory data (PBE) for CeSmPbO2 after structural relaxation.

Summary:
SG: No. 107
Electronic total energy: -7.3394 eV/atom
Formation energy (no corrections): -2484 meV per atom
DOS at the Fermi energy: 4.98 states/eV/f.u.

```
CeSmPbO2
1.0
-1.981 1.981 6.944
1.981 -1.981 6.944
1.981 1.981 -6.944
Ce Sm Pb O
1 1 1 2
Direct
0.000 0.000 0.000
0.671 0.671 0.000
0.335 0.335 0.000
0.083 0.583 0.500
0.583 0.083 0.500
```

=====

[3]
Density functional theory data (PBE) for Ce4Sm2Pb3O2 after structural relaxation.

Summary:
SG: No. 139
Electronic total energy: -6.2154 eV/atom
Formation energy (no corrections): -1287 meV per atom
DOS at the Fermi energy: 22.51 states/eV/f.u.

```
Ce4Sm2Pb3O2
1.0
-2.376 2.376 13.198
2.376 -2.376 13.198
2.376 2.376 -13.198
Ce Sm Pb O
4 2 3 2
Direct
0.085 0.585 0.500
0.415 0.915 0.500
0.585 0.085 0.500
0.915 0.415 0.500
0.196 0.196 0.000
0.804 0.804 0.000
0.320 0.320 0.000
0.500 0.500 0.000
0.680 0.680 0.000
0.102 0.102 0.000
0.898 0.898 0.000
```

=====

[4]
Density functional theory data (PBE) for Ce4SnPbO after structural relaxation.

Summary:
SG: No. 63
Electronic total energy: -6.3065 eV/atom
Formation energy (no corrections): -1106 meV per atom
DOS at the Fermi energy: 22.55 states/eV/f.u.

```
Ce4SnPbO
1.0
3.377 -8.474 0.000
3.377 8.474 0.000
0.000 0.000 6.756
Ce Sn Pb O
8 2 2 2
Direct
0.000 0.500 0.000
0.000 0.500 0.500
0.081 0.919 0.750
0.415 0.585 0.750
0.500 0.000 0.000
0.500 0.000 0.500
0.585 0.415 0.250
0.919 0.081 0.250
0.111 0.889 0.250
0.889 0.111 0.750
0.392 0.608 0.250
0.608 0.392 0.750
0.250 0.750 0.750
0.750 0.250 0.250
```

=====

[5]
Density functional theory data (PBE) for Sr2CePbO6 after structural relaxation.

Summary:
SG: No. 14
Electronic total energy: -6.7530 eV/atom
Formation energy (no corrections): -2477 meV per atom
DOS at the Fermi energy: 0.00 states/eV/f.u.

```
Sr2CePbO6
1.0
5.992 0.000 0.000
0.000 6.151 0.000
-5.955 0.000 8.564
Sr Ce Pb O
4 2 2 12
Direct
0.237 0.048 0.249
0.237 0.452 0.749
0.763 0.548 0.251
0.763 0.952 0.751
0.500 0.000 0.000
0.500 0.500 0.500
0.000 0.000 0.500
0.000 0.500 0.000
0.147 0.205 0.947
0.147 0.295 0.447
0.242 0.703 0.947
0.242 0.797 0.447
0.348 0.039 0.748
0.348 0.461 0.248
0.652 0.539 0.752
0.652 0.961 0.252
0.758 0.203 0.553
0.758 0.297 0.053
0.853 0.705 0.553
0.853 0.795 0.053
```

=====

[6]
Density functional theory data (PBE) for CeTaPbO6 after structural relaxation.

Summary:
SG: No. 163
Electronic total energy: -8.1067 eV/atom
Formation energy (no corrections): -2413 meV per atom
DOS at the Fermi energy: 4.39 states/eV/f.u.

```
CeTaPbO6
1.0
5.724 0.000 0.000
-2.862 4.957 0.000
0.000 0.000 9.596
Ce Ta Pb O
2 2 2 12
Direct
0.333 0.667 0.250
0.667 0.333 0.750
0.333 0.667 0.750
0.667 0.333 0.250
0.000 0.000 0.000
0.000 0.000 0.500
0.032 0.376 0.638
0.032 0.656 0.862
0.344 0.376 0.862
0.344 0.968 0.638
0.376 0.032 0.138
0.376 0.344 0.362
0.624 0.656 0.638
0.624 0.968 0.862
0.656 0.032 0.362
0.656 0.624 0.138
0.968 0.344 0.138
0.968 0.624 0.362
```

=====

[7]
Density functional theory data (PBE) for TbCePbO2 after structural relaxation.

Summary:
SG: No. 107
Electronic total energy: -7.3490 eV/atom
Formation energy (no corrections): -2511 meV per atom
DOS at the Fermi energy: 5.19 states/eV/f.u.

```
TbCePbO2
1.0
-1.962 1.962 6.899
1.962 -1.962 6.899
1.962 1.962 -6.899
Tb Ce Pb O
1 1 1 2
Direct
0.000 0.000 0.000
0.331 0.331 0.000
0.665 0.665 0.000
0.417 0.917 0.500
0.917 0.417 0.500
```

=====

[8]
Density functional theory data (PBE) for CeTcPbO6 after structural relaxation.

Summary:
SG: No. 74
Electronic total energy: -7.3921 eV/atom
Formation energy (no corrections): -1864 meV per atom
DOS at the Fermi energy: 4.66 states/eV/f.u.

```
CeTcPbO6
1.0
-3.630 3.665 4.976
3.630 -3.665 4.976
3.630 3.665 -4.976
Ce Tc Pb O
2 2 2 12
Direct
0.000 0.000 0.000
0.500 0.000 0.500
0.500 0.000 0.000
0.500 0.500 0.500
0.197 0.447 0.750
0.803 0.553 0.250
0.141 0.891 0.250
0.188 0.420 0.369
0.188 0.819 0.767
0.420 0.170 0.250
0.449 0.181 0.869
0.449 0.580 0.267
0.551 0.420 0.733
0.551 0.819 0.131
0.580 0.830 0.750
0.812 0.181 0.233
0.812 0.580 0.631
0.859 0.109 0.750
```